Here is a geometry-optimized TiIBrN2 structure from Alexandria via LeMat-Bulk. Energies are from GGA-PBEsol.

Summary:
Energy relative to the elements, uncorrected in kJ per mole of atoms: 45.2
Polymorph energy (0 for the lowest one) in eV/atom: 0.000
Space group: P4/mmm

a b c (Å): 3.967 3.967 5.950
angles (deg): 90.00 90.00 90.00
Element x y z (fractional)
Br 0.500 0.500 0.500
I 0.000 0.000 0.500
N 0.500 0.000 0.000
N 0.000 0.500 0.000
Ti 0.000 0.000 0.000

---

Here is a geometry-optimized MgCr2MoRh structure from Alexandria via LeMat-Bulk. Energies are from GGA-PBEsol.

Summary:
DFT formation energy in eV/atom: 1.348
Space group: P4/mmm

a b c (Å): 4.614 4.735 4.735
angles (deg): 90.00 90.00 90.00
Element x y z (fractional)
Mg 0.500 0.500 0.500
Mo 0.500 0.000 0.000
Cr 0.000 0.500 0.000
Cr 0.000 0.000 0.500
Rh 0.000 0.000 0.000

---

Here is a geometry-optimized SrLiAg structure from Alexandria via LeMat-Bulk. Energies are from GGA-PBEsol.

Summary:
Polymorph energy (0 for the lowest one) in eV/atom: 0.000
DFT formation energy in eV/atom: -0.149
Space group: P-6m2

a b c (Å): 4.252 4.659 4.659
angles (deg): 120.00 90.00 90.00
Element x y z (fractional)
Ag 0.000 0.000 0.000
Li 0.000 0.333 0.667
Sr 0.500 0.667 0.333

---

Here is a geometry-optimized SnGeTe3 structure from Alexandria via LeMat-Bulk. Energies are from GGA-PBEsol.

Summary:
Energy relative to the elements, uncorrected in kJ per mole of atoms: 65.0
Space group: Pm-3m

a b c (Å): 5.574 5.574 5.574
angles (deg): 90.00 90.00 90.00
Element x y z (fractional)
Te 0.000 0.000 0.500
Te 0.000 0.500 0.000
Te 0.500 0.000 0.000
Ge 0.500 0.500 0.500
Sn 0.000 0.000 0.000

---

Here is a geometry-optimized CoTeP2 structure from Alexandria via LeMat-Bulk. Energies are from GGA-PBEsol.

Summary:
Energy relative to the elements, uncorrected in kJ per mole of atoms: -11.6
Space group: C2/m

a b c (Å): 3.170 3.598 7.458
angles (deg): 78.41 77.73 63.87
Element x y z (fractional)
P 0.854 0.920 0.371
P 0.146 0.080 0.629
Co 0.500 0.500 0.500
Te 0.000 0.000 0.000

---

Here is a geometry-optimized AlCdOs structure from Alexandria via LeMat-Bulk. Energies are from GGA-PBEsol.

Summary:
Polymorph energy (0 for the lowest one) in eV/atom: 0.000
DFT formation energy in eV/atom: 0.178
Space group: Imm2

a b c (Å): 2.800 3.770 5.181
angles (deg): 111.34 105.68 90.00
Element x y z (fractional)
Os 0.361 0.361 0.722
Al 0.969 0.969 0.938
Cd 0.670 0.670 0.340

---

E_tot readings, ordered: -26.67 -35.37 -7.56 -16.41 -23.33 -16.97 eV for the cell shown